The following is a PBE-GGA calculation of a geometry-optimized Rb3UBi2Se6 structure, from Alexandria.

Computed properties:
total DFT energy (no corrections) = -53.92 eV/cell
M_tot = 2.95 Bohr magnetons per cell
density of states at the Fermi level = 6.10 states/eV per cell
energy relative to the elements, uncorrected = -88.9 kJ/mol of atoms

Geometry as extended XYZ:
```
12
Lattice="3.801 -6.582 0.000 3.801 6.582 0.000 -2.525 0.000 7.954" Properties=species:S:1:pos:R:3 pbc="T T T"
Rb 0.000 0.000 0.000
Rb 3.801 2.242 0.000
Rb 3.801 -2.242 0.000
U 2.538 0.000 3.977
Bi 2.538 4.394 3.977
Bi 2.538 -4.394 3.977
Se 1.298 2.150 2.391
Se 0.059 0.000 5.572
Se 1.298 -2.150 2.391
Se 3.779 2.150 5.563
Se 5.018 0.000 2.382
Se 3.779 -2.150 5.563
```